(1)
Crystalline Tm8RuPb2 at its relaxed geometry, computed with PBE-GGA.

Structure (CIF):
```
data_Tm8RuPb2
_space_group_name_H-M_alt 'C 1 2/m 1'
_space_group_IT_number 12
_cell_length_a 19.171
_cell_length_b 4.987
_cell_length_c 6.591
_cell_angle_alpha 90.00
_cell_angle_beta 106.12
_cell_angle_gamma 90.00
loop_
_space_group_symop_operation_xyz
'x,y,z'
'-x,-y,-z'
'-x,y,-z'
'x,-y,z'
'x+1/2,y+1/2,z'
'-x+1/2,-y+1/2,-z'
'-x+1/2,y+1/2,-z'
'x+1/2,-y+1/2,z'
loop_
_atom_site_label
_atom_site_fract_x
_atom_site_fract_y
_atom_site_fract_z
Tm1 0.020 0.000 0.287
Tm2 0.087 0.500 0.956
Tm3 0.142 0.500 0.505
Tm4 0.217 0.000 0.826
Ru1 0.000 0.500 0.500
Pb1 0.182 0.000 0.263
```

Summary:
The calculation puts the formation energy at -272 meV per atom. The calculation puts the density of states at the Fermi level at 0.7800 states/eV/atom.

---

(2)
Crystalline YTmRuPb at its relaxed geometry, computed with PBE-GGA.

Structure (CIF):
```
data_YTmRuPb
_space_group_name_H-M_alt 'P 4 m m'
_space_group_IT_number 99
_cell_length_a 3.414
_cell_length_b 3.414
_cell_length_c 8.213
_cell_angle_alpha 90.00
_cell_angle_beta 90.00
_cell_angle_gamma 90.00
loop_
_space_group_symop_operation_xyz
'x,y,z'
'-y,x,z'
'-x,-y,z'
'y,-x,z'
'-x,y,z'
'y,x,z'
'x,-y,z'
'-y,-x,z'
loop_
_atom_site_label
_atom_site_fract_x
_atom_site_fract_y
_atom_site_fract_z
Y1 0.000 0.000 0.000
Tm1 0.000 0.000 0.597
Ru1 0.500 0.500 0.791
Pb1 0.500 0.500 0.302
```

Summary:
The calculation puts the formation energy at -485 meV per atom. The calculation puts the energy above the most stable polymorph in this dataset at 0.000 eV per atom. The calculation puts the density of states at the Fermi level at 0.3653 states/eV/atom.

---

(3)
Crystalline YTmRuPb at its relaxed geometry, computed with PBE-GGA.

Structure (CIF):
```
data_YTmRuPb
_space_group_name_H-M_alt 'F -4 3 m'
_space_group_IT_number 216
_space_group_name_Hall 'F -4 2 3'
_cell_length_a 7.198
_cell_length_b 7.198
_cell_length_c 7.198
_cell_angle_alpha 90.00
_cell_angle_beta 90.00
_cell_angle_gamma 90.00
loop_
_atom_site_label
_atom_site_fract_x
_atom_site_fract_y
_atom_site_fract_z
Y1 0.000 0.000 0.000
Tm1 0.000 0.000 0.500
Ru1 0.250 0.250 0.750
Pb1 0.250 0.250 0.250
```

Summary:
The calculation puts the formation energy at -284 meV per atom. The calculation puts the energy above the most stable polymorph in this dataset at 0.201 eV per atom. The calculation puts the density of states at the Fermi level at 0.5459 states/eV/atom.

---

(4)
Crystalline URu2Pb at its relaxed geometry, computed with PBE-GGA.

Structure (CIF):
```
data_URu2Pb
_space_group_name_H-M_alt 'P 4/m m m'
_space_group_IT_number 123
_space_group_name_Hall '-P 4 2'
_cell_length_a 3.392
_cell_length_b 3.392
_cell_length_c 6.914
_cell_angle_alpha 90.00
_cell_angle_beta 90.00
_cell_angle_gamma 90.00
loop_
_atom_site_label
_atom_site_fract_x
_atom_site_fract_y
_atom_site_fract_z
U1 0.000 0.000 0.000
Ru1 0.500 0.500 0.202
Pb1 0.000 0.000 0.500
```

Summary:
The calculation puts the formation energy at 48 meV per atom. The calculation puts the density of states at the Fermi level at 1.3135 states/eV/atom.

---

(5)
Crystalline VRuPb3 at its relaxed geometry, computed with PBE-GGA.

Structure (CIF):
```
data_VRuPb3
_space_group_name_H-M_alt 'P m -3 m'
_space_group_IT_number 221
_space_group_name_Hall '-P 4 2 3'
_cell_length_a 5.262
_cell_length_b 5.262
_cell_length_c 5.262
_cell_angle_alpha 90.00
_cell_angle_beta 90.00
_cell_angle_gamma 90.00
loop_
_atom_site_label
_atom_site_fract_x
_atom_site_fract_y
_atom_site_fract_z
V1 0.000 0.000 0.000
Ru1 0.500 0.500 0.500
Pb1 0.000 0.500 0.500
```

Summary:
The calculation puts the formation energy at 864 meV per atom. The calculation puts the energy above the most stable polymorph in this dataset at 0.000 eV per atom. The calculation puts the density of states at the Fermi level at 1.9989 states/eV/atom.

---

(6)
Crystalline V3RuPb at its relaxed geometry, computed with PBE-GGA.

Structure (CIF):
```
data_V3RuPb
_space_group_name_H-M_alt 'P m -3 m'
_space_group_IT_number 221
_space_group_name_Hall '-P 4 2 3'
_cell_length_a 4.601
_cell_length_b 4.601
_cell_length_c 4.601
_cell_angle_alpha 90.00
_cell_angle_beta 90.00
_cell_angle_gamma 90.00
loop_
_atom_site_label
_atom_site_fract_x
_atom_site_fract_y
_atom_site_fract_z
V1 0.000 0.000 0.500
Ru1 0.000 0.000 0.000
Pb1 0.500 0.500 0.500
```

Summary:
The calculation puts the formation energy at 856 meV per atom. The calculation puts the energy above the most stable polymorph in this dataset at 0.000 eV per atom. The calculation puts the density of states at the Fermi level at 1.1796 states/eV/atom.

---

(7)
Crystalline VRu2Pb2 at its relaxed geometry, computed with PBE-GGA.

Structure (CIF):
```
data_VRu2Pb2
_space_group_name_H-M_alt 'P 4/m b m'
_space_group_IT_number 127
_space_group_name_Hall '-P 4 2ab'
_cell_length_a 6.565
_cell_length_b 6.565
_cell_length_c 4.414
_cell_angle_alpha 90.00
_cell_angle_beta 90.00
_cell_angle_gamma 90.00
loop_
_atom_site_label
_atom_site_fract_x
_atom_site_fract_y
_atom_site_fract_z
V1 0.000 0.000 0.000
Ru1 0.140 0.360 0.000
Pb1 0.176 0.676 0.500
```

Summary:
The calculation puts the formation energy at 452 meV per atom. The calculation puts the energy above the most stable polymorph in this dataset at 0.000 eV per atom. The calculation puts the density of states at the Fermi level at 1.0822 states/eV/atom.

---

(8)
Crystalline VRuPb3 at its relaxed geometry, computed with PBE-GGA.

Structure (CIF):
```
data_VRuPb3
_space_group_name_H-M_alt 'P m -3 m'
_space_group_IT_number 221
_space_group_name_Hall '-P 4 2 3'
_cell_length_a 5.223
_cell_length_b 5.223
_cell_length_c 5.223
_cell_angle_alpha 90.00
_cell_angle_beta 90.00
_cell_angle_gamma 90.00
loop_
_atom_site_label
_atom_site_fract_x
_atom_site_fract_y
_atom_site_fract_z
V1 0.000 0.000 0.000
Ru1 0.500 0.500 0.500
Pb1 0.000 0.000 0.500
```

Summary:
The calculation puts the formation energy at 1143 meV per atom. The calculation puts the energy above the most stable polymorph in this dataset at 0.278 eV per atom. The calculation puts the density of states at the Fermi level at 1.1750 states/eV/atom.

---

(9)
Crystalline VRu2Pb2 at its relaxed geometry, computed with PBE-GGA.

Structure (CIF):
```
data_VRu2Pb2
_space_group_name_H-M_alt 'I 4/m m m'
_space_group_IT_number 139
_space_group_name_Hall '-I 4 2'
_cell_length_a 5.410
_cell_length_b 5.410
_cell_length_c 7.254
_cell_angle_alpha 90.00
_cell_angle_beta 90.00
_cell_angle_gamma 90.00
loop_
_atom_site_label
_atom_site_fract_x
_atom_site_fract_y
_atom_site_fract_z
V1 0.000 0.000 0.000
Ru1 0.000 0.000 0.323
Pb1 0.000 0.500 0.250
```

Summary:
The calculation puts the formation energy at 788 meV per atom. The calculation puts the energy above the most stable polymorph in this dataset at 0.336 eV per atom. The calculation puts the density of states at the Fermi level at 1.0878 states/eV/atom.

---

(10)
Crystalline Ru3PbW at its relaxed geometry, computed with PBE-GGA.

Structure (CIF):
```
data_Ru3PbW
_space_group_name_H-M_alt 'P m -3 m'
_space_group_IT_number 221
_space_group_name_Hall '-P 4 2 3'
_cell_length_a 4.786
_cell_length_b 4.786
_cell_length_c 4.786
_cell_angle_alpha 90.00
_cell_angle_beta 90.00
_cell_angle_gamma 90.00
loop_
_atom_site_label
_atom_site_fract_x
_atom_site_fract_y
_atom_site_fract_z
Ru1 0.000 0.000 0.500
Pb1 0.000 0.000 0.000
W1 0.500 0.500 0.500
```

Summary:
The calculation puts the formation energy at 2761 meV per atom. The calculation puts the energy above the most stable polymorph in this dataset at 1.407 eV per atom. The calculation puts the density of states at the Fermi level at 2.7832 states/eV/atom.